Material: Na2Pd
Method: DFT, PBE
State: relaxed

Computed properties:
Space-group type: Fd-3m, No. 227
Total energy in eV per atom: -2.17

a b c (Å): 8.6005 8.6005 8.6005
angles (deg): 60.00 60.00 60.00
With the nearest neighbours (Å) after each atom.
Positions (direct):
Na1 0.0000 0.0000 0.0000  2 Pd 2.63
Na2 0.0000 0.0000 0.5000  2 Pd 2.63
Na3 0.0000 0.5000 0.0000  2 Pd 2.63
Na4 0.5000 0.0000 0.0000  2 Pd 2.63
Pd1 0.1250 0.1250 0.1250  4 Na 2.63
Pd2 0.8750 0.8750 0.8750  4 Na 2.63